# PBE with a Hubbard U MoIrF3, optimized geometry
data_MoIrF3
_cell_length_a 4.167
_cell_length_b 4.167
_cell_length_c 4.167
_cell_angle_alpha 90.00
_cell_angle_beta 90.00
_cell_angle_gamma 90.00
_space_group_name_H-M_alt 'P 1'
_space_group_IT_number 1
_space_group_name_Hall 'P 1'
loop_
_atom_site_label
_atom_site_fract_x
_atom_site_fract_y
_atom_site_fract_z
F1 0.000 0.000 0.500
F2 0.500 0.000 0.000
F3 0.000 0.500 0.000
Ir1 0.500 0.500 0.500
Mo1 0.000 0.000 0.000
# * energy above the most stable polymorph in this dataset: 420 meV/atom
# * calculated total energy: -4.24 eV/atom
# * DOS(E_F): 1.8571 states/eV per atom
# * theoretical density: 7.9 Mg/m³